# 1
The following is a PBE calculation of crystalline InHgAu2 at its relaxed geometry, from Alexandria via LeMat-Bulk.

a b c (Å): 5.1042 5.1042 5.1042
angles (deg): 125.24 127.85 79.01
Last column: nearest neighbours and their distance in Å.
Fractional positions:
Au 0.9996 0.9996 0.0000  4 In 2.98-3.07, 4 Hg 2.99-3.06, 4 Au 3.25
Au 0.5004 0.5004 0.0000  4 In 2.98-3.07, 4 Hg 2.99-3.06, 4 Au 3.25
Hg 0.7500 0.2500 0.5000  8 Au 2.99-3.06, 4 In 3.25
In 0.2500 0.7500 0.5000  8 Au 2.98-3.07, 4 Hg 3.25

Summary:
- total magnetization (μB/f.u.) = 0.000
- formation energy from the elements (meV/atom) = 14


# 2
The following is a PBE calculation of crystalline In8Hg2Au3 at its relaxed geometry, from Alexandria via LeMat-Bulk.

a b c (Å): 4.6934 8.1677 9.1539
angles (deg): 80.95 90.00 90.00
Last column: nearest neighbours and their distance in Å.
Fractional positions:
In 0.0000 0.3759 0.3354  2 Au 2.79-2.88, 2 Hg 3.00
In 0.0000 0.6241 0.6646  2 Au 2.79-2.88, 2 Hg 3.00
In 0.0000 0.9653 0.8209  3 Au 2.81-2.90
In 0.0000 0.0347 0.1791  3 Au 2.81-2.90
In 0.4999 0.3343 0.8230  3 Au 2.88-2.95, 2 Hg 2.99-3.02, 1 In 3.22
In 0.5001 0.8312 0.4743  2 Au 2.84, 1 In 2.87
In 0.4999 0.1688 0.5257  2 Au 2.84, 1 In 2.87
In 0.5001 0.6657 0.1770  3 Au 2.88-2.95, 2 Hg 2.99-3.02, 1 In 3.22
Hg 0.5000 0.6988 0.8469  6 In 2.99-3.18, 1 Au 3.02
Hg 0.5000 0.3012 0.1531  6 In 2.99-3.18, 1 Au 3.02
Au 0.5000 0.0000 0.0000  6 In 2.90-2.95, 2 Hg 3.02
Au 0.0001 0.7155 0.3476  7 In 2.79-2.88
Au 0.9999 0.2845 0.6524  7 In 2.79-2.88

Summary:
- total magnetization (μB/f.u.) = 0.000
- formation energy from the elements (meV/atom) = -88


What is the formula in the first record? InHgAu2